[1]
5
Lattice="4.8947 0.0000 0.0000 0.0000 4.8947 0.0000 0.0000 0.0000 5.0248" Properties=species:S:1:pos:R:3 comment="BaMgGa2Rh, relaxed, DFT PBE" e_form_ev_per_atom=-0.497 pbc="T T T"
Ba 0.0000 0.0000 0.0000
Mg 2.4473 2.4473 0.0000
Ga 0.0000 2.4473 2.5124
Ga 2.4473 0.0000 2.5124
Rh 2.4473 2.4473 2.5124

[2]
4
Lattice="4.3133 0.0000 0.0000 0.0000 1.4172 5.7548 0.0000 -1.4172 5.7548" Properties=species:S:1:pos:R:3 comment="Ag2WCl, relaxed, DFT PBE" e_form_raw_kj_per_mol_fu=196 e_above_lowest_polymorph_ev_per_fu=0.57 pbc="T T T"
Ag 0.0000 0.0000 0.0000
Ag 2.1566 0.0000 4.3908
W 0.0000 0.0000 8.5451
Cl 2.1566 0.0000 7.5210

[3]
4
Lattice="0.0000 3.1622 3.1622 3.1622 0.0000 3.1622 3.1622 3.1622 0.0000" Properties=species:S:1:pos:R:3 comment="CaHW2, relaxed, DFT PBE" e_above_lowest_polymorph_ev_per_fu=6.85 pbc="T T T"
Ca 0.0000 0.0000 0.0000
H 3.1622 3.1622 3.1622
W 1.5811 1.5811 1.5811
W 4.7433 4.7433 4.7433

[4]
11
Lattice="1.7810 1.0283 31.5115 -1.7810 1.0283 31.5115 0.0000 -2.0566 31.5115" Properties=species:S:1:pos:R:3 comment="Ho3Tm2Th6, relaxed, DFT PBE" e_form_ev_per_atom=0.031 pbc="T T T"
Ho 0.0000 0.0000 0.0000
Ho 0.0000 0.0000 25.7871
Ho 0.0000 0.0000 68.7474
Tm 0.0000 0.0000 42.9395
Tm 0.0000 0.0000 51.5951
Th 0.0000 0.0000 8.5993
Th 0.0000 0.0000 17.1703
Th 0.0000 0.0000 34.3775
Th 0.0000 0.0000 60.1571
Th 0.0000 0.0000 77.3643
Th 0.0000 0.0000 85.9353

[5]
16
Lattice="6.4456 0.0000 0.0000 -3.2228 5.5821 0.0000 0.0000 0.0000 22.2731" Properties=species:S:1:pos:R:3 comment="Rb5NaSb2, relaxed, DFT PBE" e_form_raw_kj_per_mol_fu=-268 pbc="T T T"
Rb 0.0000 0.0000 2.8844
Rb 0.0000 0.0000 8.2521
Rb 0.0000 0.0000 14.0209
Rb 0.0000 0.0000 19.3887
Rb 0.0000 3.7214 1.1350
Rb 0.0000 3.7214 5.5683
Rb 0.0000 3.7214 10.0015
Rb 3.2228 1.8607 12.2716
Rb 3.2228 1.8607 16.7048
Rb 3.2228 1.8607 21.1380
Na 0.0000 3.7214 16.7048
Na 3.2228 1.8607 5.5683
Sb 0.0000 3.7214 13.7535
Sb 0.0000 3.7214 19.6560
Sb 3.2228 1.8607 2.6170
Sb 3.2228 1.8607 8.5195

[6]
4
Lattice="0.0000 3.3636 3.3636 3.3636 0.0000 3.3636 3.3636 3.3636 0.0000" Properties=species:S:1:pos:R:3 comment="YGa2H, relaxed, DFT PBE" e_above_lowest_polymorph_ev_per_fu=1.26 pbc="T T T"
Y 0.0000 0.0000 0.0000
Ga 1.6818 1.6818 1.6818
Ga 5.0454 5.0454 5.0454
H 3.3636 3.3636 3.3636

We obtain DOS(E_F) values of 3.58 1.70 4.28 16.35 9.73 0.59 states/eV/f.u. for the records listed above, in that order.